No. 1
A relaxed TmMn4S8 crystal, computed with PBE.

a b c (Å): 6.8987 6.8987 7.4552
angles (deg): 62.44 62.44 60.00
Last column: magnetic moment on the atom in μB.
Positions (direct):
1 Tm 0.5000 0.5000 0.5000  0.14
2 Mn 0.0000 0.5000 0.0000  2.63
3 Mn 0.5000 0.5000 0.0000  2.63
4 Mn 0.5000 0.0000 0.0000  2.63
5 Mn 0.0000 0.0000 0.0000  3.84
6 S 0.7287 0.2408 0.7897  -0.02
7 S 0.7592 0.2713 0.2103  -0.02
8 S 0.2713 0.7592 0.2103  -0.02
9 S 0.7592 0.7592 0.2103  -0.02
10 S 0.7335 0.7335 0.7995  -0.05
11 S 0.2665 0.2665 0.2005  -0.05
12 S 0.2408 0.2408 0.7897  -0.02
13 S 0.2408 0.7287 0.7897  -0.02

## Properties
As for the density of states at the Fermi level: 0.678 states/eV/atom. The crystal system is trigonal. As for the magnetic moment: 12.119 μB/f.u. As for the total energy: -6.50 eV/atom.



No. 2
A relaxed AgRu3W crystal, computed with PBE.

a b c (Å): 4.6206 4.6206 4.6206
angles (deg): 90.00 90.00 90.00
Positions (direct):
1 Ru 0.0000 0.5000 0.0000
2 Ru 0.0000 0.0000 0.5000
3 Ru 0.5000 0.0000 0.0000
4 Ag 0.0000 0.0000 0.0000
5 W 0.5000 0.5000 0.5000

## Properties
As for the density of states at the Fermi level: 1.513 states/eV/atom. The crystal system is cubic. As for the magnetic moment: 0.000 μB/f.u. As for the energy above the most stable polymorph in this dataset: 1168.9 meV per atom.



No. 3
A relaxed Y3AgBi crystal, computed with PBE.

a b c (Å): 5.5071 5.5071 5.5071
angles (deg): 90.00 90.00 90.00
Positions (direct):
1 Y 0.0000 0.5000 0.0000
2 Y 0.0000 0.0000 0.5000
3 Y 0.5000 0.0000 0.0000
4 Bi 0.5000 0.5000 0.5000
5 Ag 0.0000 0.0000 0.0000

## Properties
As for the density of states at the Fermi level: 1.057 states/eV/atom. The crystal system is cubic. As for the magnetic moment: 0.000 μB/f.u. As for the energy above the most stable polymorph in this dataset: 0.0 meV per atom.



Q: magnetic moment of number 1 (TmMn4S8)?
A: 12.119 μB/f.u.



Q: Among the records above, which one has the highest magnetic moment?
A: TmMn4S8